This record from Alexandria via LeMat-Bulk describes Ag6Hg2Au after structural relaxation. The functional is PBE.

Lattice parameters (Å, degrees): 2.958 5.049 12.148 95.51 96.36 105.11
Space group P-1 (No. 2)
Unique sites:
Ag1 0.148 0.070 0.232 [2 per cell]
Ag2 0.177 0.788 0.553 [2 per cell]
Ag3 0.215 0.512 0.892 [2 per cell]
Hg1 0.489 0.639 0.332 [2 per cell]
Au1 0.000 0.000 0.000 [1 per cell]

Summary:
Its density is 12.0 Mg/m³. The formation energy comes out at 60 meV per atom. Its volume is 19.2 A^3/atom. For the density of states at the Fermi level, the calculation gives 2.00 states/eV per cell. For the relative energy among the computed polymorphs, the calculation gives 0 meV/atom.

=====

This record from Alexandria via LeMat-Bulk describes AgHgAu2 after structural relaxation. The functional is PBE.

Lattice parameters (Å, degrees): 5.963 8.438 3.012 90.00 90.00 90.00
Space group Cmmm (No. 65)
Unique sites:
Ag1 0.000 0.000 0.000 [2 per cell]
Hg1 0.000 0.500 0.000 [2 per cell]
Au1 0.250 0.250 0.500 [4 per cell]

Summary:
Its density is 15.4 Mg/m³. The formation energy comes out at 26 meV per atom. Its volume is 18.9 A^3/atom. For the density of states at the Fermi level, the calculation gives 2.03 states/eV per cell.

=====

This record from Alexandria via LeMat-Bulk describes Ag2HgAu after structural relaxation. The functional is PBE.

Lattice parameters (Å, degrees): 2.874 5.052 11.313 90.00 90.00 90.00
Space group Immm (No. 71)
Unique sites:
Ag1 0.000 0.000 0.246 [4 per cell]
Hg1 0.000 0.000 0.500 [2 per cell]
Au1 0.000 0.000 0.000 [2 per cell]

Summary:
Its density is 12.4 Mg/m³. The formation energy comes out at 164 meV per atom. Its volume is 20.5 A^3/atom. For the density of states at the Fermi level, the calculation gives 1.72 states/eV per cell.

=====

This record from Alexandria via LeMat-Bulk describes Ag5HgAu5 after structural relaxation. The functional is PBE.

Lattice parameters (Å, degrees): 5.281 5.831 7.191 103.55 95.49 97.72
Space group P-1 (No. 2)
Unique sites:
Ag1 0.000 0.000 0.000 [1 per cell]
Ag2 0.082 0.727 0.627 [2 per cell]
Ag3 0.483 0.732 0.925 [2 per cell]
Hg1 0.000 0.500 0.000 [1 per cell]
Au1 0.225 0.235 0.710 [2 per cell]
Au2 0.326 0.979 0.329 [2 per cell]
Au3 0.500 0.500 0.500 [1 per cell]

Summary:
Its density is 13.5 Mg/m³. The formation energy comes out at 35 meV per atom. Its volume is 19.2 A^3/atom. For the density of states at the Fermi level, the calculation gives 2.44 states/eV per cell. For the relative energy among the computed polymorphs, the calculation gives 0 meV/atom.

=====

This record from Alexandria via LeMat-Bulk describes Ag2Hg2Au5 after structural relaxation. The functional is PBE.

Lattice parameters (Å, degrees): 5.155 5.350 7.018 71.64 72.39 86.20
Space group P-1 (No. 2)
Unique sites:
Ag1 0.180 0.079 0.278 [2 per cell]
Hg1 0.265 0.186 0.813 [2 per cell]
Au1 0.000 0.500 0.500 [1 per cell]
Au2 0.287 0.651 0.071 [2 per cell]
Au3 0.378 0.740 0.624 [2 per cell]

Summary:
Its density is 15.2 Mg/m³. The formation energy comes out at 47 meV per atom. Its volume is 19.4 A^3/atom. For the density of states at the Fermi level, the calculation gives 2.18 states/eV per cell. For the relative energy among the computed polymorphs, the calculation gives 21 meV/atom.

=====

This record from Alexandria via LeMat-Bulk describes AgHgAu2 after structural relaxation. The functional is PBE.

Lattice parameters (Å, degrees): 10.113 3.015 5.064 90.00 99.94 90.00
Space group C2/m (No. 12)
Unique sites:
Ag1 0.000 0.000 0.000 [2 per cell]
Hg1 0.000 0.500 0.500 [2 per cell]
Au1 0.246 0.500 0.244 [4 per cell]

Summary:
Its density is 15.3 Mg/m³. The formation energy comes out at 33 meV per atom. Its volume is 19.0 A^3/atom. For the density of states at the Fermi level, the calculation gives 1.78 states/eV per cell.

=====

This record from Alexandria via LeMat-Bulk describes Ag5HgAu5 after structural relaxation. The functional is PBE.

Lattice parameters (Å, degrees): 5.2787 5.2787 9.9668 90.00 90.00 120.00
Space group P-6m2 (No. 187)
Unique sites:
Ag1 0.0000 0.0000 0.0000 [1 per cell]
Ag2 0.3333 0.6667 0.3054 [2 per cell]
Ag3 0.6667 0.3333 0.2377 [2 per cell]
Hg1 0.3333 0.6667 0.0000 [1 per cell]
Au1 0.0000 0.0000 0.2616 [2 per cell]
Au2 0.3360 0.1680 0.5000 [3 per cell]

Summary:
Its density is 11.9 Mg/m³. The formation energy comes out at 196 meV per atom. Its volume is 21.9 A^3/atom. For the density of states at the Fermi level, the calculation gives 1.45 states/eV per cell. For the relative energy among the computed polymorphs, the calculation gives 161 meV/atom.

=====

This record from Alexandria via LeMat-Bulk describes Ag3Hg2Au3 after structural relaxation. The functional is PBE.

Lattice parameters (Å, degrees): 13.249 4.968 4.972 90.00 111.33 90.00
Space group C2/m (No. 12)
Unique sites:
Ag1 0.000 0.000 0.000 [2 per cell]
Ag2 0.120 0.000 0.618 [4 per cell]
Hg1 0.249 0.000 0.247 [4 per cell]
Au1 0.000 0.500 0.500 [2 per cell]
Au2 0.122 0.500 0.123 [4 per cell]

Summary:
Its density is 14.3 Mg/m³. The formation energy comes out at 44 meV per atom. Its volume is 19.1 A^3/atom. For the density of states at the Fermi level, the calculation gives 4.79 states/eV per cell. For the relative energy among the computed polymorphs, the calculation gives 0 meV/atom.

=====

This record from Alexandria via LeMat-Bulk describes Ag5Hg2Au after structural relaxation. The functional is PBE.

Lattice parameters (Å, degrees): 5.992 11.987 4.218 90.00 90.00 90.00
Space group Pbam (No. 55)
Unique sites:
Ag1 0.000 0.000 0.000 [2 per cell]
Ag2 0.002 0.251 0.000 [4 per cell]
Ag3 0.249 0.875 0.500 [4 per cell]
Hg1 0.249 0.126 0.500 [4 per cell]
Au1 0.000 0.500 0.000 [2 per cell]

Summary:
Its density is 12.5 Mg/m³. The formation energy comes out at 21 meV per atom. Its volume is 18.9 A^3/atom. For the density of states at the Fermi level, the calculation gives 5.83 states/eV per cell. For the relative energy among the computed polymorphs, the calculation gives 0 meV/atom.

=====

This record from Alexandria via LeMat-Bulk describes Ag4Hg2Au after structural relaxation. The functional is PBE.

Lattice parameters (Å, degrees): 5.160 5.167 10.521 98.80 99.45 99.07
Space group P1 (No. 1)
Unique sites:
Ag1 0.000 0.000 0.000 [1 per cell]
Ag2 0.001 0.986 0.498 [1 per cell]
Ag3 0.290 0.575 0.575 [1 per cell]
Ag4 0.442 0.856 0.361 [1 per cell]
Ag5 0.581 0.147 0.145 [1 per cell]
Ag6 0.725 0.438 0.937 [1 per cell]
Ag7 0.862 0.713 0.718 [1 per cell]
Ag8 0.865 0.715 0.219 [1 per cell]
Hg1 0.150 0.278 0.293 [1 per cell]
Hg2 0.151 0.291 0.789 [1 per cell]
Hg3 0.296 0.585 0.078 [1 per cell]
Hg4 0.574 0.138 0.638 [1 per cell]
Au1 0.445 0.867 0.862 [1 per cell]
Au2 0.726 0.436 0.432 [1 per cell]

Summary:
Its density is 12.7 Mg/m³. The formation energy comes out at 37 meV per atom. Its volume is 19.2 A^3/atom. For the density of states at the Fermi level, the calculation gives 3.99 states/eV per cell. For the relative energy among the computed polymorphs, the calculation gives 0 meV/atom.

=====

This record from Alexandria via LeMat-Bulk describes Ag2HgAu after structural relaxation. The functional is PBE.

Lattice parameters (Å, degrees): 5.414 5.414 2.869 90.00 90.00 90.00
Space group P4/mmm (No. 123)
Unique sites:
Ag1 0.000 0.500 0.000 [2 per cell]
Hg1 0.000 0.000 0.000 [1 per cell]
Au1 0.500 0.500 0.500 [1 per cell]

Summary:
Its density is 12.1 Mg/m³. The formation energy comes out at 197 meV per atom. Its volume is 21.0 A^3/atom. For the density of states at the Fermi level, the calculation gives 1.01 states/eV per cell.

=====

This record from Alexandria via LeMat-Bulk describes AgHgAu14 after structural relaxation. The functional is PBE.

Lattice parameters (Å, degrees): 6.023 6.023 8.060 90.00 90.00 90.00
Space group P4/mmm (No. 123)
Unique sites:
Ag1 0.000 0.000 0.000 [1 per cell]
Hg1 0.500 0.500 0.000 [1 per cell]
Au1 0.000 0.000 0.500 [1 per cell]
Au2 0.000 0.500 0.000 [2 per cell]
Au3 0.000 0.500 0.500 [2 per cell]
Au4 0.248 0.248 0.252 [8 per cell]
Au5 0.500 0.500 0.500 [1 per cell]

Summary:
Its density is 17.4 Mg/m³. The formation energy comes out at 9 meV per atom. Its volume is 18.3 A^3/atom. For the density of states at the Fermi level, the calculation gives 3.94 states/eV per cell.

=====

This record from Alexandria via LeMat-Bulk describes Ag4HgAu4 after structural relaxation. The functional is PBE.

Lattice parameters (Å, degrees): 8.917 8.917 4.156 90.00 90.00 90.00
Space group I4/mmm (No. 139)
Unique sites:
Ag1 0.169 0.169 0.000 [8 per cell]
Hg1 0.000 0.000 0.500 [2 per cell]
Au1 0.000 0.335 0.500 [8 per cell]

Summary:
Its density is 14.3 Mg/m³. The formation energy comes out at -12 meV per atom. Its volume is 18.4 A^3/atom. For the density of states at the Fermi level, the calculation gives 4.66 states/eV per cell. For the relative energy among the computed polymorphs, the calculation gives 0 meV/atom.

=====

This record from Alexandria via LeMat-Bulk describes Ag6Hg2Au after structural relaxation. The functional is PBE.

Lattice parameters (Å, degrees): 14.794 8.235 2.874 90.00 93.46 90.00
Space group C2/m (No. 12)
Unique sites:
Ag1 0.000 0.183 0.000 [4 per cell]
Ag2 0.162 0.323 0.517 [8 per cell]
Hg1 0.177 0.000 0.998 [4 per cell]
Au1 0.000 0.500 0.500 [2 per cell]

Summary:
Its density is 11.8 Mg/m³. The formation energy comes out at 87 meV per atom. Its volume is 19.4 A^3/atom. For the density of states at the Fermi level, the calculation gives 3.97 states/eV per cell. For the relative energy among the computed polymorphs, the calculation gives 26 meV/atom.

=====

This record from Alexandria via LeMat-Bulk describes Ag6HgAu3 after structural relaxation. The functional is PBE.

Lattice parameters (Å, degrees): 9.471 4.069 9.519 90.00 90.58 90.00
Space group P2_1/m (No. 11)
Unique sites:
Ag1 0.002 0.250 0.256 [2 per cell]
Ag2 0.201 0.250 0.645 [2 per cell]
Ag3 0.204 0.750 0.154 [2 per cell]
Ag4 0.306 0.750 0.845 [2 per cell]
Ag5 0.401 0.750 0.549 [2 per cell]
Ag6 0.403 0.250 0.051 [2 per cell]
Hg1 0.108 0.250 0.945 [2 per cell]
Au1 0.101 0.750 0.451 [2 per cell]
Au2 0.302 0.250 0.351 [2 per cell]
Au3 0.500 0.250 0.749 [2 per cell]

Summary:
Its density is 13.0 Mg/m³. The formation energy comes out at -8 meV per atom. Its volume is 18.3 A^3/atom. For the density of states at the Fermi level, the calculation gives 4.57 states/eV per cell. For the relative energy among the computed polymorphs, the calculation gives 0 meV/atom.

=====

This record from Alexandria via LeMat-Bulk describes AgHgAu2 after structural relaxation. The functional is PBE.

Lattice parameters (Å, degrees): 4.222 4.222 8.510 90.00 90.00 90.00
Space group I-4m2 (No. 119)
Unique sites:
Ag1 0.000 0.000 0.000 [2 per cell]
Hg1 0.000 0.500 0.750 [2 per cell]
Au1 0.000 0.000 0.500 [2 per cell]
Au2 0.000 0.500 0.250 [2 per cell]

Summary:
Its density is 15.4 Mg/m³. The formation energy comes out at 22 meV per atom. Its volume is 19.0 A^3/atom. For the density of states at the Fermi level, the calculation gives 2.63 states/eV per cell.

=====

This record from Alexandria via LeMat-Bulk describes Ag3HgAu2 after structural relaxation. The functional is PBE.

Lattice parameters (Å, degrees): 5.828 5.450 7.792 90.00 110.65 90.00
Space group P2_1/m (No. 11)
Unique sites:
Ag1 0.066 0.250 0.149 [2 per cell]
Ag2 0.152 0.250 0.804 [2 per cell]
Ag3 0.432 0.750 0.851 [2 per cell]
Hg1 0.346 0.750 0.192 [2 per cell]
Au1 0.247 0.000 0.500 [4 per cell]

Summary:
Its density is 13.2 Mg/m³. The formation energy comes out at 64 meV per atom. Its volume is 19.3 A^3/atom. For the density of states at the Fermi level, the calculation gives 3.58 states/eV per cell. For the relative energy among the computed polymorphs, the calculation gives 48 meV/atom.

=====

This record from Alexandria via LeMat-Bulk describes Ag2HgAu after structural relaxation. The functional is PBE.

Lattice parameters (Å, degrees): 9.745 3.034 5.241 90.00 100.93 90.00
Space group C2/m (No. 12)
Unique sites:
Ag1 0.247 0.000 0.244 [4 per cell]
Hg1 0.000 0.000 0.500 [2 per cell]
Au1 0.000 0.500 0.000 [2 per cell]

Summary:
Its density is 13.4 Mg/m³. The formation energy comes out at 40 meV per atom. Its volume is 19.0 A^3/atom. For the density of states at the Fermi level, the calculation gives 2.96 states/eV per cell.

=====

This record from Alexandria via LeMat-Bulk describes AgHgAu2 after structural relaxation. The functional is PBE.

Lattice parameters (Å, degrees): 7.714 7.714 5.603 90.00 90.00 90.00
Space group I-42d (No. 122)
Unique sites:
Ag1 0.000 0.000 0.000 [4 per cell]
Hg1 0.000 0.000 0.500 [4 per cell]
Au1 0.245 0.250 0.125 [8 per cell]

Summary:
Its density is 14.0 Mg/m³. The formation energy comes out at 148 meV per atom. Its volume is 20.8 A^3/atom. For the density of states at the Fermi level, the calculation gives 4.83 states/eV per cell.

=====

This record from Alexandria via LeMat-Bulk describes AgHg2Au2 after structural relaxation. The functional is PBE.

Lattice parameters (Å, degrees): 7.815 7.815 3.441 90.00 90.00 90.00
Space group P4/mbm (No. 127)
Unique sites:
Ag1 0.000 0.000 0.000 [2 per cell]
Hg1 0.163 0.337 0.000 [4 per cell]
Au1 0.137 0.637 0.500 [4 per cell]

Summary:
Its density is 14.3 Mg/m³. The formation energy comes out at 146 meV per atom. Its volume is 21.0 A^3/atom. For the density of states at the Fermi level, the calculation gives 3.59 states/eV per cell. For the relative energy among the computed polymorphs, the calculation gives 57 meV/atom.